[1]
{
  "formula": "Sc2Tl3TeSe6",
  "functional": "PBE",
  "state": "relaxed",
  "cell": [[3.610, -6.001, 0.000], [3.610, 6.001, 0.000], [-2.563, 0.000, 7.691]],
  "species": ["Sc", "Sc", "Tl", "Tl", "Tl", "Te", "Se", "Se", "Se", "Se", "Se", "Se"],
  "frac_coords": [[0.163, 0.837, 0.000], [0.837, 0.163, 0.000], [0.000, 0.000, 0.500], [0.335, 0.665, 0.500], [0.665, 0.335, 0.500], [0.500, 0.500, 0.000], [0.093, 0.436, 0.808], [0.207, 0.207, 0.216], [0.436, 0.093, 0.808], [0.564, 0.907, 0.192], [0.793, 0.793, 0.784], [0.907, 0.564, 0.192]],
  "crystal_system": "monoclinic",
  "e_form_raw_ev_per_atom": -0.84
}

[2]
{
  "formula": "ScTlTeSe",
  "functional": "PBE",
  "state": "relaxed",
  "cell": [[2.048, 1.183, 8.075], [-2.048, 1.183, 8.075], [0.000, -2.365, 8.075]],
  "species": ["Sc", "Tl", "Te", "Se"],
  "frac_coords": [[0.000, 0.000, 0.000], [0.160, 0.160, 0.160], [0.594, 0.594, 0.594], [0.391, 0.391, 0.391]],
  "crystal_system": "trigonal",
  "e_form_raw_ev_per_atom": -1.07
}

[3]
{
  "formula": "Sc2Tl2TeSe6",
  "functional": "PBE",
  "state": "relaxed",
  "cell": [[3.447, -5.979, 0.000], [3.447, 5.979, 0.000], [-2.334, 0.000, 7.795]],
  "species": ["Sc", "Sc", "Tl", "Tl", "Te", "Se", "Se", "Se", "Se", "Se", "Se"],
  "frac_coords": [[0.169, 0.831, 0.000], [0.831, 0.169, 0.000], [0.335, 0.665, 0.500], [0.665, 0.335, 0.500], [0.500, 0.500, 0.000], [0.093, 0.431, 0.802], [0.224, 0.224, 0.196], [0.431, 0.093, 0.802], [0.569, 0.907, 0.198], [0.776, 0.776, 0.804], [0.907, 0.569, 0.198]],
  "crystal_system": "monoclinic",
  "e_form_raw_ev_per_atom": -0.93
}

[4]
{
  "formula": "Sc4TlTe2Se",
  "functional": "PBE",
  "state": "relaxed",
  "cell": [[7.132, 0.000, 0.000], [0.000, 4.052, 0.000], [-2.309, 0.000, 6.753]],
  "species": ["Sc", "Sc", "Sc", "Sc", "Tl", "Te", "Te", "Se"],
  "frac_coords": [[0.226, 0.000, 0.236], [0.238, 0.500, 0.751], [0.762, 0.500, 0.249], [0.774, 0.000, 0.764], [0.000, 0.000, 0.500], [0.500, 0.000, 0.000], [0.500, 0.500, 0.500], [0.000, 0.500, 0.000]],
  "crystal_system": "monoclinic",
  "e_form_raw_ev_per_atom": -1.00
}

[5]
{
  "formula": "ScU2Te2Se2",
  "functional": "PBE",
  "state": "relaxed",
  "cell": [[-2.659, 2.659, 7.037], [2.659, -2.659, 7.037], [2.659, 2.659, -7.037]],
  "species": ["Sc", "U", "U", "Te", "Te", "Se", "Se"],
  "frac_coords": [[0.000, 0.000, 0.000], [0.414, 0.414, 0.000], [0.586, 0.586, 0.000], [0.198, 0.198, 0.000], [0.802, 0.802, 0.000], [0.000, 0.500, 0.500], [0.500, 0.000, 0.500]],
  "crystal_system": "tetragonal",
  "e_form_raw_ev_per_atom": -0.77
}

[6]
{
  "formula": "ThSc3Se6",
  "functional": "PBE",
  "state": "relaxed",
  "cell": [[11.201, 0.000, 0.000], [0.000, 3.952, 0.000], [-3.744, 0.000, 10.813]],
  "species": ["Th", "Th", "Sc", "Sc", "Sc", "Sc", "Sc", "Sc", "Se", "Se", "Se", "Se", "Se", "Se", "Se", "Se", "Se", "Se", "Se", "Se"],
  "frac_coords": [[0.051, 0.250, 0.203], [0.949, 0.750, 0.797], [0.159, 0.250, 0.585], [0.323, 0.750, 0.001], [0.440, 0.250, 0.339], [0.560, 0.750, 0.661], [0.677, 0.250, 0.999], [0.841, 0.750, 0.415], [0.083, 0.750, 0.412], [0.123, 0.250, 0.968], [0.201, 0.750, 0.752], [0.269, 0.750, 0.230], [0.390, 0.250, 0.559], [0.479, 0.250, 0.116], [0.521, 0.750, 0.884], [0.610, 0.750, 0.441], [0.731, 0.250, 0.770], [0.799, 0.250, 0.248], [0.877, 0.750, 0.032], [0.917, 0.250, 0.588]],
  "crystal_system": "monoclinic",
  "e_form_raw_ev_per_atom": -1.70
}

[7]
{
  "formula": "ThScSe",
  "functional": "PBE",
  "state": "relaxed",
  "cell": [[6.514, 0.000, 0.000], [0.000, 3.803, 0.000], [-0.139, 0.000, 6.537]],
  "species": ["Th", "Th", "Sc", "Sc", "Se", "Se"],
  "frac_coords": [[0.217, 0.250, 0.086], [0.783, 0.750, 0.914], [0.202, 0.750, 0.581], [0.798, 0.250, 0.419], [0.482, 0.250, 0.723], [0.518, 0.750, 0.277]],
  "crystal_system": "monoclinic",
  "de_polymorph_ev_per_atom": 0.028,
  "e_form_raw_ev_per_atom": -0.84
}

[8]
{
  "formula": "ThScSe2",
  "functional": "PBE",
  "state": "relaxed",
  "cell": [[1.950, 1.126, 7.081], [-1.950, 1.126, 7.081], [0.000, -2.252, 7.081]],
  "species": ["Th", "Sc", "Se", "Se"],
  "frac_coords": [[0.000, 0.000, 0.000], [0.500, 0.500, 0.500], [0.239, 0.239, 0.239], [0.761, 0.761, 0.761]],
  "crystal_system": "trigonal",
  "de_polymorph_ev_per_atom": 0.000,
  "e_form_raw_ev_per_atom": -1.56
}

[9]
{
  "formula": "Th6ScSe12",
  "functional": "PBE",
  "state": "relaxed",
  "cell": [[6.377, 3.682, 3.908], [-6.377, 3.682, 3.908], [0.000, -7.364, 3.908]],
  "species": ["Th", "Th", "Th", "Th", "Th", "Th", "Sc", "Se", "Se", "Se", "Se", "Se", "Se", "Se", "Se", "Se", "Se", "Se", "Se"],
  "frac_coords": [[0.135, 0.802, 0.633], [0.198, 0.367, 0.865], [0.367, 0.865, 0.198], [0.633, 0.135, 0.802], [0.802, 0.633, 0.135], [0.865, 0.198, 0.367], [0.500, 0.500, 0.500], [0.068, 0.678, 0.928], [0.072, 0.932, 0.322], [0.181, 0.435, 0.530], [0.322, 0.072, 0.932], [0.435, 0.530, 0.181], [0.470, 0.819, 0.565], [0.530, 0.181, 0.435], [0.565, 0.470, 0.819], [0.678, 0.928, 0.068], [0.819, 0.565, 0.470], [0.928, 0.068, 0.678], [0.932, 0.322, 0.072]],
  "crystal_system": "trigonal",
  "e_form_raw_ev_per_atom": -1.65
}

[10]
{
  "formula": "ThSc2Se",
  "functional": "PBE",
  "state": "relaxed",
  "cell": [[1.788, 1.033, 9.043], [-1.788, 1.033, 9.043], [0.000, -2.065, 9.043]],
  "species": ["Th", "Sc", "Sc", "Se"],
  "frac_coords": [[0.000, 0.000, 0.000], [0.230, 0.230, 0.230], [0.436, 0.436, 0.436], [0.833, 0.833, 0.833]],
  "crystal_system": "trigonal",
  "de_polymorph_ev_per_atom": 0.024,
  "e_form_raw_ev_per_atom": -0.71
}

[11]
{
  "formula": "Th3ScSe6",
  "functional": "PBE",
  "state": "relaxed",
  "cell": [[5.751, -6.891, 0.000], [5.751, 6.891, 0.000], [0.000, 0.000, 6.962]],
  "species": ["Th", "Th", "Th", "Th", "Th", "Th", "Sc", "Sc", "Se", "Se", "Se", "Se", "Se", "Se", "Se", "Se", "Se", "Se", "Se", "Se"],
  "frac_coords": [[0.108, 0.892, 0.500], [0.225, 0.427, 0.385], [0.427, 0.225, 0.885], [0.573, 0.775, 0.385], [0.775, 0.573, 0.885], [0.892, 0.108, 0.000], [0.348, 0.652, 0.877], [0.652, 0.348, 0.377], [0.081, 0.593, 0.695], [0.127, 0.191, 0.690], [0.191, 0.127, 0.190], [0.261, 0.739, 0.216], [0.407, 0.919, 0.695], [0.498, 0.502, 0.634], [0.502, 0.498, 0.134], [0.593, 0.081, 0.195], [0.739, 0.261, 0.716], [0.809, 0.873, 0.690], [0.873, 0.809, 0.190], [0.919, 0.407, 0.195]],
  "crystal_system": "orthorhombic",
  "e_form_raw_ev_per_atom": -1.63
}

[12]
{
  "formula": "Th3Sc2Se4",
  "functional": "PBE",
  "state": "relaxed",
  "cell": [[7.036, -1.965, 0.000], [7.036, 1.965, 0.000], [-5.963, 0.000, 8.324]],
  "species": ["Th", "Th", "Th", "Sc", "Sc", "Se", "Se", "Se", "Se"],
  "frac_coords": [[0.000, 0.000, 0.000], [0.154, 0.154, 0.733], [0.846, 0.846, 0.267], [0.396, 0.396, 0.624], [0.604, 0.604, 0.376], [0.214, 0.214, 0.323], [0.387, 0.387, 0.087], [0.613, 0.613, 0.913], [0.786, 0.786, 0.677]],
  "crystal_system": "monoclinic",
  "e_form_raw_ev_per_atom": -1.31
}

Record order is preserved below.
Final energy: -4.492; -4.899; -4.694; -5.683; -6.792; -6.429; -6.584; -6.735; -6.528; -6.602; -6.579; -6.743 eV/atom